# CrPPb2 (PBE-GGA, relaxed)
data_CrPPb2
_cell_length_a 5.098
_cell_length_b 5.098
_cell_length_c 5.098
_cell_angle_alpha 60.00
_cell_angle_beta 60.00
_cell_angle_gamma 60.00
_space_group_name_H-M_alt 'P 1'
_space_group_IT_number 1
_space_group_name_Hall 'P 1'
loop_
_atom_site_label
_atom_site_type_symbol
_atom_site_fract_x
_atom_site_fract_y
_atom_site_fract_z
Pb1 Pb 0.750 0.750 0.750
Pb2 Pb 0.000 0.000 0.000
P1 P 0.250 0.250 0.250
Cr1 Cr 0.500 0.500 0.500
# Space group: F-43m
# Formation energy from the elements, eV/atom: 0.609
# V, Å³/cell: 93.7
# Total magnetic moment, μB/f.u.: 3.76
# Raw total energy, eV per atom: -5.0038